(1)
A plane-wave DFT calculation with GGA-PBE was carried out for crystalline ZrScTa2C4 at its relaxed geometry.

Its energy relative to the elements is -678 meV per atom. Its total energy is -10.113 eV/atom.

The space group is I4/mmm (No. 139) and the conventional cell measures 4.5789, 4.5789 and 9.0645 Å, with angles of 90.00, 90.00 and 90.00 degrees. The inequivalent atoms are Zr at (0.0000, 0.0000, 0.0000), Sc at (0.0000, 0.0000, 0.5000), Ta at (0.0000, 0.5000, 0.2500), C at (0.0000, 0.0000, 0.2509) and C at (0.0000, 0.5000, 0.0000).

(2)
A plane-wave DFT calculation with GGA-PBE was carried out for crystalline InHg3Pd6 at its relaxed geometry.

The energy above the lowest structure with this stoichiometry is 0 meV per atom. Its energy relative to the elements is -249 meV per atom. Its total energy is -3.729 eV/atom.

The space group is P2_1/m (No. 11) and the conventional cell measures 7.8227, 4.7456 and 10.0893 Å, with angles of 90.00, 110.87 and 90.00 degrees. The inequivalent atoms are In at (0.0628, 0.2500, 0.3766), Hg at (0.2431, 0.2500, 0.9817), Hg at (0.3476, 0.7500, 0.8123), Hg at (0.4714, 0.2500, 0.5944), Pd at (0.0422, 0.7500, 0.9136), Pd at (0.1401, 0.7500, 0.2142), Pd at (0.1523, 0.2500, 0.6723), Pd at (0.2313, 0.7500, 0.5147), Pd at (0.3517, 0.2500, 0.2829) and Pd at (0.4384, 0.7500, 0.1101).